No. 1
Computed, not measured: RbLaIO6 after structural relaxation at the PBE level of DFT.

Geometry as POSCAR:
```
RbLaIO6
1.0
5.985 0.000 0.000
-2.992 5.183 0.000
0.000 0.000 5.978
Rb La I O
1 1 1 6
direct
0.000 0.000 0.000 Rb
0.333 0.667 0.500 La
0.667 0.333 0.500 I
0.414 0.064 0.681 O
0.414 0.350 0.319 O
0.650 0.064 0.319 O
0.650 0.586 0.681 O
0.936 0.350 0.681 O
0.936 0.586 0.319 O
```

Summary:
Energy   -5.492 eV/atom
Space group   P312, No. 149

No. 2
Computed, not measured: LaReIO4 after structural relaxation at the PBE level of DFT.

Geometry as POSCAR:
```
LaReIO4
1.0
5.696 -3.665 0.000
5.696 3.665 0.000
-1.739 0.000 7.168
La Re I O
2 2 2 8
direct
0.240 0.240 0.123 La
0.760 0.760 0.877 La
0.370 0.370 0.728 Re
0.630 0.630 0.272 Re
0.017 0.017 0.750 I
0.983 0.983 0.250 I
0.132 0.484 0.862 O
0.300 0.300 0.488 O
0.471 0.471 0.212 O
0.484 0.132 0.862 O
0.516 0.868 0.138 O
0.529 0.529 0.788 O
0.700 0.700 0.512 O
0.868 0.516 0.138 O
```

Summary:
Energy   -7.541 eV/atom
Space group   C2/m, No. 12

No. 3
Computed, not measured: LaRhIO2 after structural relaxation at the PBE level of DFT.

Geometry as POSCAR:
```
LaRhIO2
1.0
4.380 0.000 0.000
0.000 4.380 0.000
0.000 0.000 4.930
La Rh I O
1 1 1 2
direct
0.000 0.000 0.000 La
0.500 0.500 0.500 Rh
0.500 0.500 0.000 I
0.000 0.500 0.500 O
0.500 0.000 0.500 O
```

Summary:
Space group   P4/mmm, No. 123
ΔE to the lowest computed polymorph   0.44 eV per formula unit

No. 4
Computed, not measured: La8Rh3I3O after structural relaxation at the PBE level of DFT.

Geometry as POSCAR:
```
La8Rh3I3O
1.0
7.167 -4.124 0.000
7.167 4.124 0.000
-4.790 0.000 8.271
La Rh I O
8 3 3 1
direct
0.216 0.750 0.681 La
0.217 0.217 0.681 La
0.250 0.784 0.319 La
0.271 0.271 0.313 La
0.729 0.729 0.687 La
0.750 0.216 0.681 La
0.783 0.783 0.319 La
0.784 0.250 0.319 La
0.000 0.500 0.500 Rh
0.500 0.000 0.500 Rh
0.500 0.500 0.500 Rh
0.000 0.000 0.000 I
0.000 0.500 0.000 I
0.500 0.000 0.000 I
0.000 0.000 0.500 O
```

Summary:
Energy   -5.818 eV/atom
Space group   C2/m, No. 12

No. 5
Computed, not measured: LaRhIO2 after structural relaxation at the PBE level of DFT.

Geometry as POSCAR:
```
LaRhIO2
1.0
4.272 0.000 0.000
0.000 4.272 0.000
0.000 0.000 7.156
La Rh I O
1 1 1 2
direct
0.000 0.000 0.000 La
0.500 0.500 0.500 Rh
0.000 0.000 0.500 I
0.000 0.500 0.000 O
0.500 0.000 0.000 O
```

Summary:
Space group   P4/mmm, No. 123
ΔE to the lowest computed polymorph   0.00 eV per formula unit

No. 6
Computed, not measured: LaSIO4 after structural relaxation at the PBE level of DFT.

Geometry as POSCAR:
```
LaSIO4
1.0
5.364 -3.569 0.000
5.364 3.569 0.000
-1.514 0.000 6.765
La S I O
2 2 2 8
direct
0.247 0.247 0.335 La
0.753 0.753 0.665 La
0.132 0.132 0.754 S
0.868 0.868 0.246 S
0.467 0.467 0.743 I
0.533 0.533 0.257 I
0.007 0.007 0.272 O
0.010 0.342 0.650 O
0.195 0.195 0.966 O
0.342 0.010 0.650 O
0.658 0.990 0.350 O
0.805 0.805 0.034 O
0.990 0.658 0.350 O
0.993 0.993 0.728 O
```

Summary:
Energy   -6.323 eV/atom
Space group   C2/m, No. 12

No. 7
Computed, not measured: LaS2IO8 after structural relaxation at the PBE level of DFT.

Geometry as POSCAR:
```
LaS2IO8
1.0
5.729 0.000 0.000
-2.864 4.961 0.000
0.000 0.000 8.836
La S I O
1 2 1 8
direct
0.000 0.000 0.000 La
0.333 0.667 0.780 S
0.667 0.333 0.220 S
0.000 0.000 0.500 I
0.193 0.385 0.839 O
0.193 0.807 0.839 O
0.333 0.667 0.612 O
0.385 0.193 0.161 O
0.615 0.807 0.839 O
0.667 0.333 0.388 O
0.807 0.193 0.161 O
0.807 0.615 0.161 O
```

Summary:
Energy   -6.108 eV/atom
Space group   P-3m1, No. 164

No. 8
Computed, not measured: LaSbIO4 after structural relaxation at the PBE level of DFT.

Geometry as POSCAR:
```
LaSbIO4
1.0
6.408 -3.390 0.000
6.408 3.390 0.000
-1.758 0.000 7.136
La Sb I O
2 2 2 8
direct
0.205 0.205 0.326 La
0.795 0.795 0.674 La
0.128 0.128 0.749 Sb
0.872 0.872 0.251 Sb
0.477 0.477 0.813 I
0.523 0.523 0.187 I
0.023 0.023 0.295 O
0.028 0.607 0.378 O
0.191 0.191 0.010 O
0.393 0.972 0.622 O
0.607 0.028 0.378 O
0.809 0.809 0.990 O
0.972 0.393 0.622 O
0.977 0.977 0.705 O
```

Summary:
Energy   -6.172 eV/atom
Space group   C2/m, No. 12

No. 9
Computed, not measured: LaSbIO2 after structural relaxation at the PBE level of DFT.

Geometry as POSCAR:
```
LaSbIO2
1.0
4.411 0.000 0.000
0.000 4.411 0.000
0.000 0.000 5.916
La Sb I O
1 1 1 2
direct
0.000 0.000 0.000 La
0.500 0.500 0.500 Sb
0.500 0.500 0.000 I
0.000 0.500 0.500 O
0.500 0.000 0.500 O
```

Summary:
Energy   -4.899 eV/atom
Space group   P4/mmm, No. 123

No. 10
Computed, not measured: LaSbIO2 after structural relaxation at the PBE level of DFT.

Geometry as POSCAR:
```
LaSbIO2
1.0
4.509 0.000 0.000
0.000 4.509 0.000
0.000 0.000 7.064
La Sb I O
1 1 1 2
direct
0.000 0.000 0.000 La
0.500 0.500 0.500 Sb
0.000 0.000 0.500 I
0.000 0.500 0.000 O
0.500 0.000 0.000 O
```

Summary:
Energy   -5.154 eV/atom
Space group   P4/mmm, No. 123

No. 11
Computed, not measured: LaSb2IO after structural relaxation at the PBE level of DFT.

Geometry as POSCAR:
```
LaSb2IO
1.0
4.577 0.000 0.000
0.000 4.577 0.000
0.000 0.000 6.210
La Sb I O
1 2 1 1
direct
0.000 0.000 0.000 La
0.000 0.500 0.500 Sb
0.500 0.000 0.500 Sb
0.500 0.500 0.000 I
0.500 0.500 0.500 O
```

Summary:
Space group   P4/mmm, No. 123
ΔE to the lowest computed polymorph   0.00 eV per formula unit

No. 12
Computed, not measured: LaSb2IO after structural relaxation at the PBE level of DFT.

Geometry as POSCAR:
```
LaSb2IO
1.0
6.315 0.000 0.000
0.000 6.315 0.000
0.000 0.000 6.275
La Sb I O
1 2 1 1
direct
0.000 0.000 0.000 La
0.000 0.500 0.000 Sb
0.500 0.000 0.000 Sb
0.000 0.000 0.500 I
0.500 0.500 0.500 O
```

Summary:
Space group   P4/mmm, No. 123
ΔE to the lowest computed polymorph   6.43 eV per formula unit

No. 13
Computed, not measured: LaScI2O after structural relaxation at the PBE level of DFT.

Geometry as POSCAR:
```
LaScI2O
1.0
6.527 0.000 0.000
0.000 6.527 0.000
0.000 0.000 4.279
La Sc I O
1 1 2 1
direct
0.000 0.000 0.000 La
0.500 0.500 0.500 Sc
0.000 0.500 0.000 I
0.500 0.000 0.000 I
0.000 0.000 0.500 O
```

Summary:
Space group   P4/mmm, No. 123
ΔE to the lowest computed polymorph   1.66 eV per formula unit

No. 14
Computed, not measured: LaScI2O after structural relaxation at the PBE level of DFT.

Geometry as POSCAR:
```
LaScI2O
1.0
5.962 0.000 0.000
0.000 5.962 0.000
0.000 0.000 3.901
La Sc I O
1 1 2 1
direct
0.000 0.000 0.000 La
0.500 0.500 0.500 Sc
0.000 0.500 0.500 I
0.500 0.000 0.500 I
0.500 0.500 0.000 O
```

Summary:
Space group   P4/mmm, No. 123
ΔE to the lowest computed polymorph   0.00 eV per formula unit

No. 15
Computed, not measured: La2ScIO after structural relaxation at the PBE level of DFT.

Geometry as POSCAR:
```
La2ScIO
1.0
5.962 0.000 0.000
0.000 5.962 0.000
0.000 0.000 5.127
La Sc I O
2 1 1 1
direct
0.000 0.500 0.000 La
0.500 0.000 0.000 La
0.000 0.000 0.500 Sc
0.000 0.000 0.000 I
0.500 0.500 0.500 O
```

Summary:
Energy   -4.079 eV/atom
Space group   P4/mmm, No. 123

No. 16
Computed, not measured: La6Si2I3O after structural relaxation at the PBE level of DFT.

Geometry as POSCAR:
```
La6Si2I3O
1.0
3.645 -6.303 0.000
3.645 6.303 0.000
-2.432 0.000 7.908
La Si I O
6 2 3 1
direct
0.062 0.372 0.187 La
0.246 0.246 0.809 La
0.372 0.062 0.187 La
0.628 0.938 0.813 La
0.754 0.754 0.191 La
0.938 0.628 0.813 La
0.334 0.666 0.000 Si
0.666 0.334 0.000 Si
0.175 0.825 0.500 I
0.500 0.500 0.500 I
0.825 0.175 0.500 I
0.000 0.000 0.000 O
```

Summary:
Energy   -5.455 eV/atom
Space group   C2/m, No. 12

No. 17
Computed, not measured: La8Si3I4O after structural relaxation at the PBE level of DFT.

Geometry as POSCAR:
```
La8Si3I4O
1.0
4.256 2.457 7.951
-4.256 2.457 7.951
0.000 -4.914 7.951
La Si I O
8 3 4 1
direct
0.234 0.234 0.234 La
0.255 0.716 0.716 La
0.284 0.284 0.745 La
0.284 0.745 0.284 La
0.716 0.255 0.716 La
0.716 0.716 0.255 La
0.745 0.284 0.284 La
0.766 0.766 0.766 La
0.000 0.000 0.500 Si
0.000 0.500 0.000 Si
0.500 0.000 0.000 Si
0.000 0.000 0.000 I
0.000 0.500 0.500 I
0.500 0.000 0.500 I
0.500 0.500 0.000 I
0.500 0.500 0.500 O
```

Summary:
Energy   -5.385 eV/atom
Space group   R-3m, No. 166

No. 18
Computed, not measured: La4SiI2O after structural relaxation at the PBE level of DFT.

Geometry as POSCAR:
```
La4SiI2O
1.0
7.115 0.000 0.000
0.000 4.154 0.000
-2.466 0.000 7.891
La Si I O
4 1 2 1
direct
0.205 0.000 0.181 La
0.233 0.500 0.816 La
0.767 0.500 0.184 La
0.795 0.000 0.819 La
0.500 0.000 0.000 Si
0.000 0.000 0.500 I
0.500 0.500 0.500 I
0.000 0.500 0.000 O
```

Summary:
Energy   -5.567 eV/atom
Space group   P2/m, No. 10

No. 19
Computed, not measured: LaSiIO2 after structural relaxation at the PBE level of DFT.

Geometry as POSCAR:
```
LaSiIO2
1.0
4.392 0.000 0.000
0.000 4.392 0.000
0.000 0.000 7.128
La Si I O
1 1 1 2
direct
0.000 0.000 0.000 La
0.500 0.500 0.500 Si
0.000 0.000 0.500 I
0.000 0.500 0.000 O
0.500 0.000 0.000 O
```

Summary:
Space group   P4/mmm, No. 123
ΔE to the lowest computed polymorph   0.00 eV per formula unit

No. 20
Computed, not measured: LaSiIO2 after structural relaxation at the PBE level of DFT.

Geometry as POSCAR:
```
LaSiIO2
1.0
4.230 0.000 0.000
0.000 4.230 0.000
0.000 0.000 5.199
La Si I O
1 1 1 2
direct
0.000 0.000 0.000 La
0.500 0.500 0.500 Si
0.500 0.500 0.000 I
0.000 0.500 0.500 O
0.500 0.000 0.500 O
```

Summary:
Space group   P4/mmm, No. 123
ΔE to the lowest computed polymorph   0.07 eV per formula unit